# HoTmCS

A geometry-optimized HoTmCS structure (PBE, Alexandria).

a b c (Å): 6.634 6.634 6.634
angles (deg): 32.16 32.16 32.16
Sites, in units of the cell vectors:
Ho1 0.000 0.000 0.000
Tm1 0.526 0.526 0.526
C1 0.263 0.263 0.263
S1 0.764 0.764 0.764

symmetry: No. 160
E_form (uncorrected): -127.0 kJ/mol of atoms



# HoUCS

A geometry-optimized HoUCS structure (PBE, Alexandria).

a b c (Å): 6.643 6.643 6.643
angles (deg): 31.90 31.90 31.90
Sites, in units of the cell vectors:
Ho1 0.000 0.000 0.000
U1 0.522 0.522 0.522
C1 0.254 0.254 0.254
S1 0.760 0.760 0.760

symmetry: No. 160
E_form (uncorrected): -98.2 kJ/mol of atoms



# Ho5SbC

A geometry-optimized Ho5SbC structure (PBE, Alexandria).

a b c (Å): 7.064 7.064 9.336
angles (deg): 108.93 108.93 69.52
Sites, in units of the cell vectors:
Ho1 0.058 0.942 0.750
Ho2 0.113 0.313 0.639
Ho3 0.197 0.639 0.026
Ho4 0.313 0.113 0.139
Ho5 0.361 0.803 0.474
Ho6 0.639 0.197 0.526
Ho7 0.687 0.887 0.861
Ho8 0.803 0.361 0.974
Ho9 0.887 0.687 0.361
Ho10 0.942 0.058 0.250
Sb1 0.422 0.578 0.750
Sb2 0.578 0.422 0.250
C1 0.000 0.000 0.000
C2 0.000 0.000 0.500

symmetry: No. 15
E_form (uncorrected): -24.7 kJ/mol of atoms



# Ho4SbC2

A geometry-optimized Ho4SbC2 structure (PBE, Alexandria).

a b c (Å): 6.421 6.421 12.731
angles (deg): 90.00 90.00 145.53
Sites, in units of the cell vectors:
Ho1 0.000 0.000 0.000
Ho2 0.000 0.000 0.500
Ho3 0.261 0.739 0.602
Ho4 0.261 0.739 0.898
Ho5 0.418 0.582 0.250
Ho6 0.582 0.418 0.750
Ho7 0.739 0.261 0.102
Ho8 0.739 0.261 0.398
Sb1 0.110 0.890 0.250
Sb2 0.890 0.110 0.750
C1 0.364 0.636 0.059
C2 0.364 0.636 0.441
C3 0.636 0.364 0.559
C4 0.636 0.364 0.941

symmetry: No. 63
E_form (uncorrected): -52.2 kJ/mol of atoms



# Ho12Sb3C5

A geometry-optimized Ho12Sb3C5 structure (PBE, Alexandria).

a b c (Å): 13.615 13.615 13.615
angles (deg): 109.47 109.47 109.47
Sites, in units of the cell vectors:
Ho1 0.016 0.199 0.112
Ho2 0.016 0.317 0.904
Ho3 0.087 0.699 0.683
Ho4 0.087 0.888 0.404
Ho5 0.096 0.612 0.413
Ho6 0.096 0.984 0.683
Ho7 0.112 0.016 0.199
Ho8 0.112 0.596 0.913
Ho9 0.183 0.199 0.587
Ho10 0.183 0.484 0.596
Ho11 0.199 0.112 0.016
Ho12 0.199 0.587 0.183
Ho13 0.301 0.317 0.913
Ho14 0.301 0.484 0.388
Ho15 0.317 0.904 0.016
Ho16 0.317 0.913 0.301
Ho17 0.388 0.301 0.484
Ho18 0.388 0.587 0.904
Ho19 0.404 0.087 0.888
Ho20 0.404 0.817 0.516
Ho21 0.413 0.096 0.612
Ho22 0.413 0.817 0.801
Ho23 0.484 0.388 0.301
Ho24 0.484 0.596 0.183
Ho25 0.516 0.404 0.817
Ho26 0.516 0.612 0.699
Ho27 0.587 0.183 0.199
Ho28 0.587 0.904 0.388
Ho29 0.596 0.183 0.484
Ho30 0.596 0.913 0.112
Ho31 0.612 0.413 0.096
Ho32 0.612 0.699 0.516
Ho33 0.683 0.087 0.699
Ho34 0.683 0.096 0.984
Ho35 0.699 0.516 0.612
Ho36 0.699 0.683 0.087
Ho37 0.801 0.413 0.817
Ho38 0.801 0.888 0.984
Ho39 0.817 0.516 0.404
Ho40 0.817 0.801 0.413
Ho41 0.888 0.404 0.087
Ho42 0.888 0.984 0.801
Ho43 0.904 0.016 0.317
Ho44 0.904 0.388 0.587
Ho45 0.913 0.112 0.596
Ho46 0.913 0.301 0.317
Ho47 0.984 0.683 0.096
Ho48 0.984 0.801 0.888
Sb1 0.125 0.250 0.375
Sb2 0.125 0.375 0.750
Sb3 0.250 0.375 0.125
Sb4 0.250 0.875 0.625
Sb5 0.375 0.125 0.250
Sb6 0.375 0.750 0.125
Sb7 0.625 0.250 0.875
Sb8 0.625 0.875 0.750
Sb9 0.750 0.125 0.375
Sb10 0.750 0.625 0.875
Sb11 0.875 0.625 0.250
Sb12 0.875 0.750 0.625
C1 0.000 0.000 0.000
C2 0.000 0.000 0.500
C3 0.000 0.500 0.000
C4 0.000 0.500 0.500
C5 0.125 0.750 0.875
C6 0.125 0.875 0.250
C7 0.250 0.125 0.875
C8 0.250 0.625 0.375
C9 0.375 0.250 0.625
C10 0.375 0.625 0.750
C11 0.500 0.000 0.000
C12 0.500 0.000 0.500
C13 0.500 0.500 0.000
C14 0.500 0.500 0.500
C15 0.625 0.375 0.250
C16 0.625 0.750 0.375
C17 0.750 0.375 0.625
C18 0.750 0.875 0.125
C19 0.875 0.125 0.750
C20 0.875 0.250 0.125

symmetry: No. 230
E_form (uncorrected): -39.3 kJ/mol of atoms



# Ho7Sb2C2

A geometry-optimized Ho7Sb2C2 structure (PBE, Alexandria).

a b c (Å): 9.399 9.399 9.399
angles (deg): 158.72 66.41 117.93
Sites, in units of the cell vectors:
Ho1 0.000 0.000 0.000
Ho2 0.287 0.425 0.862
Ho3 0.313 0.622 0.691
Ho4 0.563 0.425 0.138
Ho5 0.634 0.294 0.340
Ho6 0.931 0.622 0.309
Ho7 0.954 0.294 0.660
Sb1 0.265 0.765 0.500
Sb2 0.672 0.672 0.000
C1 0.129 0.869 0.260
C2 0.609 0.869 0.740

symmetry: No. 44
E_form (uncorrected): -35.0 kJ/mol of atoms



# Ho12Sb6C

A geometry-optimized Ho12Sb6C structure (PBE, Alexandria).

a b c (Å): 8.345 8.345 8.345
angles (deg): 99.39 99.39 99.39
Sites, in units of the cell vectors:
Ho1 0.001 0.702 0.936
Ho2 0.064 0.999 0.298
Ho3 0.194 0.421 0.545
Ho4 0.298 0.064 0.999
Ho5 0.421 0.545 0.194
Ho6 0.455 0.806 0.579
Ho7 0.545 0.194 0.421
Ho8 0.579 0.455 0.806
Ho9 0.702 0.936 0.001
Ho10 0.806 0.579 0.455
Ho11 0.936 0.001 0.702
Ho12 0.999 0.298 0.064
Sb1 0.117 0.647 0.301
Sb2 0.301 0.117 0.647
Sb3 0.353 0.699 0.883
Sb4 0.647 0.301 0.117
Sb5 0.699 0.883 0.353
Sb6 0.883 0.353 0.699
C1 0.000 0.000 0.000

symmetry: No. 148
E_form (uncorrected): -63.1 kJ/mol of atoms



# Ho4SbC

A geometry-optimized Ho4SbC structure (PBE, Alexandria).

a b c (Å): 8.479 8.479 6.072
angles (deg): 109.34 109.34 113.53
Sites, in units of the cell vectors:
Ho1 0.054 0.668 0.892
Ho2 0.157 0.252 0.643
Ho3 0.252 0.157 0.143
Ho4 0.332 0.946 0.608
Ho5 0.668 0.054 0.392
Ho6 0.748 0.843 0.857
Ho7 0.843 0.748 0.357
Ho8 0.946 0.332 0.108
Sb1 0.382 0.618 0.250
Sb2 0.618 0.382 0.750
C1 0.076 0.924 0.250
C2 0.924 0.076 0.750

symmetry: No. 15
E_form (uncorrected): -39.0 kJ/mol of atoms



# Ho5Sb2C

A geometry-optimized Ho5Sb2C structure (PBE, Alexandria).

a b c (Å): 8.128 8.128 12.695
angles (deg): 90.00 90.00 142.33
Sites, in units of the cell vectors:
Ho1 0.073 0.927 0.624
Ho2 0.073 0.927 0.876
Ho3 0.283 0.717 0.588
Ho4 0.283 0.717 0.912
Ho5 0.299 0.701 0.250
Ho6 0.701 0.299 0.750
Ho7 0.717 0.283 0.088
Ho8 0.717 0.283 0.412
Ho9 0.927 0.073 0.124
Ho10 0.927 0.073 0.376
Sb1 0.130 0.870 0.102
Sb2 0.130 0.870 0.398
Sb3 0.870 0.130 0.602
Sb4 0.870 0.130 0.898
C1 0.185 0.815 0.750
C2 0.815 0.185 0.250

symmetry: No. 63
E_form (uncorrected): -26.8 kJ/mol of atoms



# Ho7Sb3C2

A geometry-optimized Ho7Sb3C2 structure (PBE, Alexandria).

a b c (Å): 12.534 12.534 4.768
angles (deg): 90.00 90.00 157.71
Sites, in units of the cell vectors:
Ho1 0.000 0.000 0.000
Ho2 0.097 0.903 0.500
Ho3 0.197 0.803 0.000
Ho4 0.403 0.597 0.000
Ho5 0.597 0.403 0.000
Ho6 0.803 0.197 0.000
Ho7 0.903 0.097 0.500
Sb1 0.312 0.688 0.500
Sb2 0.500 0.500 0.500
Sb3 0.688 0.312 0.500
C1 0.101 0.899 0.000
C2 0.899 0.101 0.000

symmetry: No. 65
E_form (uncorrected): -65.9 kJ/mol of atoms



# Ho6SbC3

A geometry-optimized Ho6SbC3 structure (PBE, Alexandria).

a b c (Å): 10.342 3.637 11.658
angles (deg): 90.00 102.14 90.00
Sites, in units of the cell vectors:
Ho1 0.024 0.250 0.126
Ho2 0.110 0.750 0.450
Ho3 0.178 0.250 0.749
Ho4 0.293 0.750 0.023
Ho5 0.306 0.250 0.303
Ho6 0.420 0.250 0.585
Ho7 0.580 0.750 0.415
Ho8 0.694 0.750 0.697
Ho9 0.707 0.250 0.977
Ho10 0.822 0.750 0.251
Ho11 0.890 0.250 0.550
Ho12 0.976 0.750 0.874
Sb1 0.454 0.750 0.820
Sb2 0.546 0.250 0.180
C1 0.029 0.750 0.653
C2 0.139 0.250 0.948
C3 0.352 0.750 0.442
C4 0.648 0.250 0.558
C5 0.861 0.750 0.052
C6 0.971 0.250 0.347

symmetry: No. 11
E_form (uncorrected): -39.0 kJ/mol of atoms



# Ho2Sc2Sb2C

A geometry-optimized Ho2Sc2Sb2C structure (PBE, Alexandria).

a b c (Å): 8.444 8.444 8.444
angles (deg): 149.16 149.16 44.18
Sites, in units of the cell vectors:
Ho1 0.160 0.160 0.000
Ho2 0.840 0.840 0.000
Sc1 0.000 0.500 0.500
Sc2 0.500 0.000 0.500
Sb1 0.361 0.361 0.000
Sb2 0.639 0.639 0.000
C1 0.000 0.000 0.000

symmetry: No. 139
E_form (uncorrected): -88.3 kJ/mol of atoms



# Sm2Ho2Sb2C

A geometry-optimized Sm2Ho2Sb2C structure (PBE, Alexandria).

a b c (Å): 8.746 8.746 8.746
angles (deg): 148.40 148.40 45.30
Sites, in units of the cell vectors:
Sm1 0.161 0.161 0.000
Sm2 0.839 0.839 0.000
Ho1 0.000 0.500 0.500
Ho2 0.500 0.000 0.500
Sb1 0.362 0.362 0.000
Sb2 0.638 0.638 0.000
C1 0.000 0.000 0.000

symmetry: No. 139
E_form (uncorrected): -79.9 kJ/mol of atoms



# Sm3HoSb2C

A geometry-optimized Sm3HoSb2C structure (PBE, Alexandria).

a b c (Å): 8.771 8.771 8.771
angles (deg): 148.34 147.61 45.92
Sites, in units of the cell vectors:
Sm1 0.000 0.000 0.000
Sm2 0.340 0.840 0.500
Sm3 0.660 0.160 0.500
Ho1 0.500 0.500 0.000
Sb1 0.140 0.640 0.500
Sb2 0.860 0.360 0.500
C1 0.500 0.000 0.500

symmetry: No. 71
E_form (uncorrected): -74.8 kJ/mol of atoms



# Tb2Ho2Sb2C

A geometry-optimized Tb2Ho2Sb2C structure (PBE, Alexandria).

a b c (Å): 8.606 8.606 8.606
angles (deg): 147.88 147.88 46.07
Sites, in units of the cell vectors:
Tb1 0.158 0.158 0.000
Tb2 0.842 0.842 0.000
Ho1 0.000 0.500 0.500
Ho2 0.500 0.000 0.500
Sb1 0.359 0.359 0.000
Sb2 0.641 0.641 0.000
C1 0.000 0.000 0.000

symmetry: No. 139
E_form (uncorrected): -77.2 kJ/mol of atoms



# HoTm3Sb2C

A geometry-optimized HoTm3Sb2C structure (PBE, Alexandria).

a b c (Å): 8.453 8.453 8.453
angles (deg): 147.59 147.29 46.71
Sites, in units of the cell vectors:
Ho1 0.000 0.000 0.000
Tm1 0.344 0.844 0.500
Tm2 0.500 0.500 0.000
Tm3 0.656 0.156 0.500
Sb1 0.143 0.643 0.500
Sb2 0.857 0.357 0.500
C1 0.500 0.000 0.500

symmetry: No. 71
E_form (uncorrected): -73.2 kJ/mol of atoms



# Ho3TmSb2C

A geometry-optimized Ho3TmSb2C structure (PBE, Alexandria).

a b c (Å): 8.522 8.522 8.522
angles (deg): 147.85 147.57 46.31
Sites, in units of the cell vectors:
Ho1 0.000 0.000 0.000
Ho2 0.343 0.843 0.500
Ho3 0.657 0.157 0.500
Tm1 0.500 0.500 0.000
Sb1 0.142 0.642 0.500
Sb2 0.858 0.358 0.500
C1 0.500 0.000 0.500

symmetry: No. 71
E_form (uncorrected): -75.9 kJ/mol of atoms



# Y3HoSb2C

A geometry-optimized Y3HoSb2C structure (PBE, Alexandria).

a b c (Å): 8.583 8.583 8.583
angles (deg): 147.73 147.60 46.38
Sites, in units of the cell vectors:
Y1 0.000 0.000 0.000
Y2 0.342 0.842 0.500
Y3 0.658 0.158 0.500
Ho1 0.500 0.500 0.000
Sb1 0.142 0.642 0.500
Sb2 0.858 0.358 0.500
C1 0.500 0.000 0.500

symmetry: No. 71
E_form (uncorrected): -77.7 kJ/mol of atoms



# Y2HoSbC

A geometry-optimized Y2HoSbC structure (PBE, Alexandria).

a b c (Å): 4.882 4.882 4.848
angles (deg): 90.00 90.00 90.00
Sites, in units of the cell vectors:
Y1 0.000 0.500 0.000
Y2 0.500 0.000 0.000
Ho1 0.000 0.000 0.500
Sb1 0.500 0.500 0.500
C1 0.000 0.000 0.000

symmetry: No. 123
E_form (uncorrected): -61.8 kJ/mol of atoms